(1)
This record from the Open Quantum Materials Database describes LiFe2B after structural relaxation. The functional is PBE.

abc: 5.333 5.333 5.333
angles: 90.00 90.00 90.00
Element x y z (fractional)
Li: 0.000 0.000 0.000
Li: 0.000 0.000 0.500
Li: 0.000 0.500 0.000
Li: 0.500 0.000 0.000
Fe: 0.274 0.274 0.274
Fe: 0.274 0.274 0.726
Fe: 0.274 0.726 0.274
Fe: 0.274 0.726 0.726
Fe: 0.726 0.274 0.274
Fe: 0.726 0.274 0.726
Fe: 0.726 0.726 0.274
Fe: 0.726 0.726 0.726
B: 0.000 0.500 0.500
B: 0.500 0.000 0.500
B: 0.500 0.500 0.000
B: 0.500 0.500 0.500

Summary:
* symmetry: Pm-3m, No. 221


(2)
This record from the Open Quantum Materials Database describes LiFe2B after structural relaxation. The functional is PBE.

abc: 5.333 5.333 5.333
angles: 90.00 90.00 90.00
Element x y z (fractional)
Li: 0.000 0.000 0.000
Li: 0.000 0.000 0.500
Li: 0.000 0.500 0.000
Li: 0.500 0.000 0.000
Fe: 0.274 0.274 0.274
Fe: 0.274 0.274 0.726
Fe: 0.274 0.726 0.274
Fe: 0.274 0.726 0.726
Fe: 0.726 0.274 0.274
Fe: 0.726 0.274 0.726
Fe: 0.726 0.726 0.274
Fe: 0.726 0.726 0.726
B: 0.000 0.500 0.500
B: 0.500 0.000 0.500
B: 0.500 0.500 0.000
B: 0.500 0.500 0.500

Summary:
* symmetry: Pm-3m, No. 221


(3)
This record from the Open Quantum Materials Database describes LiFeB4 after structural relaxation. The functional is PBE.

abc: 2.945 2.945 6.641
angles: 90.00 90.00 120.00
Element x y z (fractional)
Li: 0.000 0.000 0.000
Fe: 0.000 0.000 0.500
B: 0.333 0.667 0.273
B: 0.333 0.667 0.727
B: 0.667 0.333 0.273
B: 0.667 0.333 0.727

Summary:
* symmetry: P6/mmm, No. 191


(4)
This record from the Open Quantum Materials Database describes LiFe2B after structural relaxation. The functional is PBE.

abc: 3.717 3.717 3.717
angles: 60.00 60.00 60.00
Element x y z (fractional)
Li: 0.000 0.000 0.000
Fe: 0.250 0.250 0.250
Fe: 0.500 0.500 0.500
B: 0.750 0.750 0.750

Summary:
* symmetry: F-43m, No. 216


Energy for the records above, in order: -6.16 -6.16 -6.27 -6.10 eV per atom
Excess energy over the best structure of this formula in the dataset for the records above, in order: 0 0 50 57 meV per atom